No. 1
The following is a DFT calculation (PBE) of Li2LaSnBr after structural relaxation.

Results
Its formation energy without anion corrections is -0.382 eV/atom. The symmetry is P4/mmm, No. 123. The total energy comes out at -3.27 eV per atom. Its total magnetization is 0.00 μB/cell.

Cell lengths 4.8231, 6.9390, 4.8231 Å; angles 90.00, 90.00, 90.00 degrees
With the nearest neighbours (Å) after each atom.
Atoms (fractional coordinates):
Sn: 0.0000 0.5000 0.0000  4 La 3.41, 2 Br 3.47
Li: 0.0000 0.0000 0.5000  2 Br 2.41
Br: 0.0000 0.0000 0.0000  4 Li 2.41
Li: 0.5000 0.0000 0.0000  2 Br 2.41
La: 0.5000 0.5000 0.5000  4 Sn 3.41

---

No. 2
The following is a DFT calculation (PBE) of NaCeN2 after structural relaxation.

Results
Its formation energy without anion corrections is -0.585 eV/atom. The symmetry is R-3m, No. 166. As for the polymorph energy (0 for the lowest one): 0.0000 eV/atom. The total energy comes out at -6.56 eV per atom. Its total magnetization is 1.04 μB/cell.

Cell lengths 3.5885, 3.5885, 6.0709 Å; angles 72.81, 72.81, 60.00 degrees
With the nearest neighbours (Å) after each atom.
Atoms (fractional coordinates):
N: 0.7320 0.7320 0.8039  3 Ce 2.35
Ce: 0.0000 0.0000 0.0000  6 N 2.35
Na: 0.5000 0.5000 0.5000  6 N 2.70
N: 0.2680 0.2680 0.1961  3 Ce 2.35

---

No. 3
The following is a DFT calculation (PBE) of SrNdPI after structural relaxation.

Results
Its formation energy without anion corrections is -1.330 eV/atom. The symmetry is R3m, No. 160. The total energy comes out at -4.68 eV per atom. Its total magnetization is 0.00 μB/cell.

Cell lengths 4.3021, 4.3022, 8.3495 Å; angles 90.00, 104.92, 120.00 degrees
With the nearest neighbours (Å) after each atom.
Atoms (fractional coordinates):
I: 0.9600 0.3781 0.3532  3 Nd 3.41, 3 Sr 3.56
Sr: 0.5066 0.1512 0.6730  3 P 2.99
P: 0.3130 0.5544 0.8827  3 Nd 2.86, 3 Sr 2.99
Nd: 0.0983 0.9471 0.0607  3 P 2.86

---

| no. | Fermi-level density of states (states/eV/f.u.) |
| --- | --- |
| 1 | 2.7 |
| 2 | 3.6 |
| 3 | 2.7 |